Density functional theory data (PBE) for a relaxed Sc2PaSe4 crystal.

- Fermi-level density of states: 15.09 states/eV per cell
- Formation energy (no corrections): -1.513 eV per atom
- SG: Cmcm, No. 63
- Total energy: -6.670 eV per atom

Cell and atoms, written as POSCAR:
```
Sc2PaSe4
1.0
-1.627 3.417 0.798
-3.444 -2.638 -5.099
-8.154 -5.878 8.548
Sc Pa Se
4 2 8
Direct
0.133 0.267 0.438 Sc
0.867 0.733 0.938 Sc
0.133 0.267 0.062 Sc
0.867 0.733 0.562 Sc
0.619 0.237 0.750 Pa
0.381 0.763 0.250 Pa
0.770 0.541 0.121 Se
0.770 0.541 0.379 Se
0.230 0.459 0.879 Se
0.230 0.459 0.621 Se
0.951 0.902 0.750 Se
0.049 0.098 0.250 Se
0.500 0.000 0.000 Se
0.500 0.000 0.500 Se
```